The following is a DFT calculation (PBE) of K2CePaS4 after structural relaxation.

The magnetization comes out at 3.0 μB per formula unit. The crystal system is monoclinic. The total energy is -47.2 eV per cell. Its energy relative to the elements, uncorrected is -1.629 eV/atom.

The structure belongs to space group P2/m (No. 10); the cell edges are 7.133, 4.090 and 7.814 Å and the angles 90.00°, 107.51° and 90.00°. The distinct sites, in fractional coordinates, are K at (0.000, 0.000, 0.000), K at (0.500, 0.500, 0.000), Ce at (0.000, 0.500, 0.500), Pa at (0.500, 0.000, 0.500), S at (0.247, 0.000, 0.709) and S at (0.273, 0.500, 0.294).